Entry 1:
Below is LaOsBr2 at its PBEsol-relaxed geometry, with properties calculated at the SCAN level.

Calculated values
Relative energy among the computed polymorphs = 358.6 meV per atom
VASP energy = -38.665 eV per atom
Uncorrected formation energy = -189 meV per atom

Cell: 3.5735 3.5735 7.9749 Å, 90.00 90.00 100.78°
Element x y z (fractional)
Br (0.5000, 0.5000, 0.7185)
Os (0.5000, 0.5000, 0.2183)
Br (0.0000, 0.0000, 0.0979)
La (0.0000, 0.0000, 0.4653)

---

Entry 2:
Below is Mg3ReH7 at its PBEsol-relaxed geometry, with properties calculated at the SCAN level.

Calculated values
VASP energy = -10.348 eV per atom

Cell: 4.7899 4.7899 10.6087 Å, 90.00 90.00 120.00°
Element x y z (fractional)
Re (0.0000, 0.0000, 0.5000)
Mg (0.0000, 0.0000, 0.7500)
H (0.6591, 0.8296, 0.5975)
H (0.3333, 0.6667, 0.2500)
H (0.1704, 0.8296, 0.9025)
H (0.1704, 0.3409, 0.9025)
H (0.8296, 0.6591, 0.0975)
H (0.6591, 0.8296, 0.9025)
Mg (0.0000, 0.0000, 0.2500)
H (0.8296, 0.1704, 0.0975)
Mg (0.6667, 0.3333, 0.5691)
Re (0.0000, 0.0000, 0.0000)
H (0.1704, 0.3409, 0.5975)
H (0.8296, 0.6591, 0.4025)
Mg (0.3333, 0.6667, 0.0691)
H (0.8296, 0.1704, 0.4025)
H (0.6667, 0.3333, 0.7500)
Mg (0.3333, 0.6667, 0.4309)
Mg (0.6667, 0.3333, 0.9309)
H (0.1704, 0.8296, 0.5975)
H (0.3409, 0.1704, 0.0975)
H (0.3409, 0.1704, 0.4025)